(1)
TbHoCO | PBE | optimized geometry

- ρ: 9.5 g cm⁻³
- VASP energy: -7.0780 eV per atom
- DOS at the Fermi energy: 0.277 states/eV/atom
- Space group: Imm2
- Magnetic moment: 0.0000 μB per atom

Lattice parameters (Å, degrees): 3.1535 3.2608 6.4052 104.75 104.25 90.00
Last column: nearest neighbours and their distance in Å.
Sites, in units of the cell vectors:
Tb: 0.8226 0.3226 0.6452  2 C 2.47, 4 O 2.51
Ho: 0.0758 0.0758 0.1516  2 O 2.51, 4 C 2.52
C: 0.6679 0.6679 0.3357  2 Tb 2.47, 4 Ho 2.52
O: 0.4129 0.9129 0.8258  2 Ho 2.51, 4 Tb 2.51


(2)
HoTl2C2O6 | PBE | optimized geometry

- ρ: 6.1 g cm⁻³
- VASP energy: -6.9010 eV per atom
- DOS at the Fermi energy: 0.133 states/eV/atom
- Space group: C2/m
- Magnetic moment: 0.0000 μB per atom

Lattice parameters (Å, degrees): 5.3484 5.3847 8.5276 112.99 90.00 119.78
Last column: nearest neighbours and their distance in Å.
Sites, in units of the cell vectors:
Ho: 0.5000 0.0000 0.5000  6 O 2.24
Tl: 0.6786 0.3572 0.0343  3 Tl 3.12-3.16, 4 O 3.17-3.24
Tl: 0.3214 0.6428 0.9657  3 Tl 3.12-3.16, 4 O 3.17-3.24
C: 0.9057 0.8113 0.6715  3 O 1.29-1.30
C: 0.0943 0.1887 0.3285  3 O 1.29-1.30
O: 0.7654 0.5309 0.6657  1 C 1.29
O: 0.2310 0.0431 0.3223  1 C 1.30
O: 0.1879 0.9569 0.6777  1 C 1.30
O: 0.7690 0.9569 0.6777  1 C 1.30
O: 0.8121 0.0431 0.3223  1 C 1.30
O: 0.2346 0.4691 0.3343  1 C 1.29


(3)
HoTmCO | PBE | optimized geometry

- ρ: 10.1 g cm⁻³
- VASP energy: -7.0744 eV per atom
- DOS at the Fermi energy: 0.267 states/eV/atom
- Space group: Imm2
- Magnetic moment: 0.0000 μB per atom

Lattice parameters (Å, degrees): 3.1127 3.2343 6.3251 104.81 104.24 90.00
Last column: nearest neighbours and their distance in Å.
Sites, in units of the cell vectors:
Ho: 0.8216 0.3216 0.6433  2 C 2.44, 4 O 2.50
Tm: 0.0757 0.0757 0.1514  2 O 2.46, 4 C 2.49
C: 0.6676 0.6676 0.3352  2 Ho 2.44, 4 Tm 2.49
O: 0.4142 0.9142 0.8283  2 Tm 2.46, 4 Ho 2.50


(4)
YHoCO | PBE | optimized geometry

- ρ: 7.6 g cm⁻³
- VASP energy: -7.5292 eV per atom
- DOS at the Fermi energy: 0.234 states/eV/atom
- Space group: Imm2
- Magnetic moment: 0.0000 μB per atom

Lattice parameters (Å, degrees): 3.1674 3.2347 6.4110 104.61 104.30 90.00
Last column: nearest neighbours and their distance in Å.
Sites, in units of the cell vectors:
Y: 0.4123 0.9123 0.8245  4 C 2.52, 2 O 2.57
Ho: 0.6671 0.6671 0.3343  2 C 2.44, 4 O 2.49
C: 0.8192 0.3192 0.6384  2 Ho 2.44, 4 Y 2.52
O: 0.0805 0.0805 0.1610  4 Ho 2.49, 2 Y 2.57


(5)
Ho2OsC2 | PBE | optimized geometry

- ρ: 11.3 g cm⁻³
- VASP energy: -8.1651 eV per atom
- DOS at the Fermi energy: 0.457 states/eV/atom
- Space group: Pnma
- Magnetic moment: 0.0000 μB per atom
- Formation enthalpy at 0 K: -0.40 eV per atom

Lattice parameters (Å, degrees): 5.1021 6.4393 9.7534 90.00 90.00 90.00
Last column: nearest neighbours and their distance in Å.
Sites, in units of the cell vectors:
Ho: 0.2500 0.6825 0.5526  5 C 2.46-2.57
Ho: 0.7500 0.3175 0.4474  5 C 2.46-2.57
Ho: 0.7500 0.8175 0.0526  5 C 2.46-2.57
Ho: 0.2500 0.1825 0.9474  5 C 2.46-2.57
Ho: 0.2500 0.5270 0.2190  4 C 2.51-2.57
Ho: 0.7500 0.4730 0.7810  4 C 2.51-2.57
Ho: 0.7500 0.9730 0.7190  4 C 2.51-2.57
Ho: 0.2500 0.0270 0.2810  4 C 2.51-2.57
Os: 0.2500 0.7248 0.8654  3 C 1.94-1.99
Os: 0.7500 0.2752 0.1346  3 C 1.94-1.99
Os: 0.7500 0.7752 0.3654  3 C 1.94-1.99
Os: 0.2500 0.2248 0.6346  3 C 1.94-1.99
C: 0.2500 0.4610 0.7583  2 Os 1.94-1.99
C: 0.7500 0.5390 0.2417  2 Os 1.94-1.99
C: 0.7500 0.0390 0.2583  2 Os 1.94-1.99
C: 0.2500 0.9610 0.7417  2 Os 1.94-1.99
C: 0.2500 0.8258 0.0540  1 Os 1.95
C: 0.7500 0.1742 0.9460  1 Os 1.95
C: 0.7500 0.6742 0.5540  1 Os 1.95
C: 0.2500 0.3258 0.4460  1 Os 1.95


(6)
Ho2Os2C3 | PBE | optimized geometry

- ρ: 12.5 g cm⁻³
- VASP energy: -8.7065 eV per atom
- DOS at the Fermi energy: 0.357 states/eV/atom
- Space group: C2/m
- Magnetic moment: 0.0000 μB per atom
- Formation enthalpy at 0 K: -0.24 eV per atom

Lattice parameters (Å, degrees): 3.4054 5.5964 5.9331 112.34 106.68 90.00
Last column: nearest neighbours and their distance in Å.
Sites, in units of the cell vectors:
Ho: 0.6097 0.8210 0.2194  5 C 2.38-2.54
Ho: 0.3903 0.1790 0.7806  5 C 2.38-2.54
Os: 0.8433 0.6778 0.6865  4 C 1.97-2.10
Os: 0.1567 0.3222 0.3135  4 C 1.97-2.10
C: 0.0000 0.0000 0.0000  2 Os 1.97
C: 0.7492 0.2696 0.4983  3 Os 2.08-2.10
C: 0.2508 0.7304 0.5017  3 Os 2.08-2.10


(7)
HoPu2OsC4 | PBE | optimized geometry

- ρ: 12.3 g cm⁻³
- VASP energy: -10.0681 eV per atom
- DOS at the Fermi energy: 1.772 states/eV/atom
- Space group: Cmcm
- Magnetic moment: 1.0353 μB per atom
- Formation enthalpy at 0 K: 0.10 eV per atom

Lattice parameters (Å, degrees): 3.5124 5.9670 12.0597 90.00 90.00 107.12
Last column: nearest neighbours and their distance in Å.
Sites, in units of the cell vectors:
Ho: 0.1139 0.2279 0.7500  6 C 2.65-2.72
Ho: 0.8861 0.7721 0.2500  6 C 2.65-2.72
Pu: 0.3691 0.7383 0.5391  5 C 2.35-2.52
Pu: 0.6309 0.2617 0.0391  5 C 2.35-2.52
Pu: 0.6309 0.2617 0.4609  5 C 2.35-2.52
Pu: 0.3691 0.7383 0.9609  5 C 2.35-2.52
Os: 0.8511 0.7022 0.7500  4 C 1.94-2.03
Os: 0.1489 0.2978 0.2500  4 C 1.94-2.03
C: 0.2588 0.5177 0.1271  1 Os 1.94
C: 0.7412 0.4823 0.6271  1 Os 1.94
C: 0.7412 0.4823 0.8729  1 Os 1.94
C: 0.2588 0.5177 0.3729  1 Os 1.94
C: 0.0000 0.0000 0.5000  4 Pu 2.35
C: 0.0000 0.0000 0.0000  4 Pu 2.35
C: 0.4401 0.8802 0.7500  2 Os 2.03
C: 0.5599 0.1198 0.2500  2 Os 2.03


(8)
HoSiOs2C | PBE | optimized geometry

- ρ: 12.7 g cm⁻³
- VASP energy: -8.8490 eV per atom
- DOS at the Fermi energy: 0.372 states/eV/atom
- Space group: Cmcm
- Magnetic moment: 0.0000 μB per atom

Lattice parameters (Å, degrees): 5.8935 5.8935 7.1226 90.00 90.00 141.78
Last column: nearest neighbours and their distance in Å.
Sites, in units of the cell vectors:
Ho: 0.5472 0.4528 0.2500  4 C 2.68
Ho: 0.4528 0.5472 0.7500  4 C 2.68
Si: 0.2690 0.7310 0.2500  6 Os 2.48
Si: 0.7310 0.2690 0.7500  6 Os 2.48
Os: 0.8351 0.1649 0.0581  1 C 1.88
Os: 0.1649 0.8351 0.9419  1 C 1.88
Os: 0.1649 0.8351 0.5581  1 C 1.88
Os: 0.8351 0.1649 0.4419  1 C 1.88
C: 0.0000 0.0000 0.0000  2 Os 1.88
C: 0.0000 0.0000 0.5000  2 Os 1.88